# GGA-PBE Nd2GaSb, optimized geometry
# Offset from the most stable computed form   157 meV per atom
# Uncorrected formation energy   -695 meV/atom
# Uncorrected energy   -19.5 eV/f.u.
data_Nd2GaSb
_symmetry_space_group_name_H-M 'P 1'
_symmetry_Int_Tables_number 1
_cell_length_a 5.0181
_cell_length_b 5.0181
_cell_length_c 4.3049
_cell_angle_alpha 90.00
_cell_angle_beta 90.00
_cell_angle_gamma 90.00
loop_
_symmetry_equiv_pos_as_xyz
'x,y,z'
loop_
_atom_site_label
_atom_site_fract_x
_atom_site_fract_y
_atom_site_fract_z
Nd1 0.0000 0.5000 0.0000
Nd2 0.5000 0.0000 0.0000
Ga1 0.0000 0.0000 0.5000
Sb1 0.5000 0.5000 0.5000

# GGA-PBE Nd7Ga2Sb2, optimized geometry
# Uncorrected formation energy   -375 meV/atom
# Uncorrected energy   -51.8 eV/f.u.
data_Nd7Ga2Sb2
_symmetry_space_group_name_H-M 'P 1'
_symmetry_Int_Tables_number 1
_cell_length_a 6.8951
_cell_length_b 6.8951
_cell_length_c 7.8181
_cell_angle_alpha 90.00
_cell_angle_beta 90.00
_cell_angle_gamma 107.78
loop_
_symmetry_equiv_pos_as_xyz
'x,y,z'
loop_
_atom_site_label
_atom_site_fract_x
_atom_site_fract_y
_atom_site_fract_z
Nd1 0.0000 0.0000 0.0000
Nd2 0.0000 0.5000 0.2924
Nd3 0.0000 0.5000 0.7076
Nd4 0.5000 0.0000 0.2924
Nd5 0.5000 0.0000 0.7076
Nd6 0.5000 0.5000 0.2782
Nd7 0.5000 0.5000 0.7218
Ga1 0.1626 0.1626 0.5000
Ga2 0.8374 0.8374 0.5000
Sb1 0.2899 0.7101 0.0000
Sb2 0.7101 0.2899 0.0000

# GGA-PBE Nd4GaSb, optimized geometry
# Offset from the most stable computed form   25 meV per atom
# Uncorrected formation energy   -542 meV/atom
# Uncorrected energy   -29.5 eV/f.u.
data_Nd4GaSb
_symmetry_space_group_name_H-M 'P 1'
_symmetry_Int_Tables_number 1
_cell_length_a 10.1720
_cell_length_b 10.1720
_cell_length_c 10.1720
_cell_angle_alpha 60.00
_cell_angle_beta 60.00
_cell_angle_gamma 60.00
loop_
_symmetry_equiv_pos_as_xyz
'x,y,z'
loop_
_atom_site_label
_atom_site_fract_x
_atom_site_fract_y
_atom_site_fract_z
Nd1 0.0564 0.0564 0.4436
Nd2 0.0564 0.4436 0.0564
Nd3 0.0564 0.4436 0.4436
Nd4 0.1444 0.6185 0.6185
Nd5 0.1912 0.1912 0.8088
Nd6 0.1912 0.8088 0.1912
Nd7 0.1912 0.8088 0.8088
Nd8 0.4436 0.0564 0.0564
Nd9 0.4436 0.0564 0.4436
Nd10 0.4436 0.4436 0.0564
Nd11 0.6185 0.1444 0.6185
Nd12 0.6185 0.6185 0.1444
Nd13 0.6185 0.6185 0.6185
Nd14 0.8088 0.1912 0.1912
Nd15 0.8088 0.1912 0.8088
Nd16 0.8088 0.8088 0.1912
Ga1 0.3988 0.3988 0.3988
Ga2 0.3988 0.3988 0.8036
Ga3 0.3988 0.8036 0.3988
Ga4 0.8036 0.3988 0.3988
Sb1 0.4597 0.8468 0.8468
Sb2 0.8468 0.4597 0.8468
Sb3 0.8468 0.8468 0.4597
Sb4 0.8468 0.8468 0.8468

# GGA-PBE Nd4Ga2Sb, optimized geometry
# Uncorrected formation energy   -655 meV/atom
# Uncorrected energy   -33.8 eV/f.u.
data_Nd4Ga2Sb
_symmetry_space_group_name_H-M 'P 1'
_symmetry_Int_Tables_number 1
_cell_length_a 8.0905
_cell_length_b 8.0905
_cell_length_c 8.0905
_cell_angle_alpha 109.40
_cell_angle_beta 109.40
_cell_angle_gamma 109.62
loop_
_symmetry_equiv_pos_as_xyz
'x,y,z'
loop_
_atom_site_label
_atom_site_fract_x
_atom_site_fract_y
_atom_site_fract_z
Nd1 0.1309 0.7360 0.7461
Nd2 0.1348 0.2399 0.7539
Nd3 0.2640 0.0101 0.3949
Nd4 0.4860 0.3809 0.2461
Nd5 0.6152 0.8691 0.6051
Nd6 0.6191 0.8652 0.1051
Nd7 0.7601 0.5140 0.8949
Nd8 0.9899 0.3848 0.2539
Ga1 0.2478 0.6250 0.1228
Ga2 0.3750 0.4978 0.6228
Ga3 0.5022 0.1250 0.8772
Ga4 0.8750 0.7522 0.3772
Sb1 0.0000 0.0000 0.0000
Sb2 0.7500 0.2500 0.5000

# GGA-PBE Nd2GaSb, optimized geometry
# Offset from the most stable computed form   0 meV per atom
# Uncorrected formation energy   -853 meV/atom
# Uncorrected energy   -20.1 eV/f.u.
data_Nd2GaSb
_symmetry_space_group_name_H-M 'P 1'
_symmetry_Int_Tables_number 1
_cell_length_a 6.1879
_cell_length_b 4.2611
_cell_length_c 8.9663
_cell_angle_alpha 90.00
_cell_angle_beta 108.12
_cell_angle_gamma 90.00
loop_
_symmetry_equiv_pos_as_xyz
'x,y,z'
loop_
_atom_site_label
_atom_site_fract_x
_atom_site_fract_y
_atom_site_fract_z
Nd1 0.2014 0.2500 0.4278
Nd2 0.2890 0.7500 0.0656
Nd3 0.7110 0.2500 0.9344
Nd4 0.7986 0.7500 0.5722
Ga1 0.1097 0.2500 0.7959
Ga2 0.8903 0.7500 0.2041
Sb1 0.3716 0.7500 0.7086
Sb2 0.6284 0.2500 0.2914

# GGA-PBE Nd5GaSb2, optimized geometry
# Uncorrected formation energy   -585 meV/atom
# Uncorrected energy   -39.8 eV/f.u.
data_Nd5GaSb2
_symmetry_space_group_name_H-M 'P 1'
_symmetry_Int_Tables_number 1
_cell_length_a 9.0394
_cell_length_b 10.0624
_cell_length_c 6.7606
_cell_angle_alpha 90.00
_cell_angle_beta 131.94
_cell_angle_gamma 90.00
loop_
_symmetry_equiv_pos_as_xyz
'x,y,z'
loop_
_atom_site_label
_atom_site_fract_x
_atom_site_fract_y
_atom_site_fract_z
Nd1 0.0000 0.0000 0.0000
Nd2 0.0128 0.5000 0.5310
Nd3 0.0302 0.5000 0.0612
Nd4 0.2607 0.2347 0.5306
Nd5 0.2607 0.7653 0.5306
Nd6 0.5000 0.5000 0.0000
Nd7 0.5128 0.0000 0.5310
Nd8 0.5302 0.0000 0.0612
Nd9 0.7607 0.2653 0.5306
Nd10 0.7607 0.7347 0.5306
Ga1 0.0127 0.0000 0.5298
Ga2 0.5127 0.5000 0.5298
Sb1 0.2629 0.2504 0.0306
Sb2 0.2629 0.7496 0.0306
Sb3 0.7629 0.2496 0.0306
Sb4 0.7629 0.7504 0.0306

# GGA-PBE Nd2GaSb, optimized geometry
# Offset from the most stable computed form   5 meV per atom
# Uncorrected formation energy   -848 meV/atom
# Uncorrected energy   -20.1 eV/f.u.
data_Nd2GaSb
_symmetry_space_group_name_H-M 'P 1'
_symmetry_Int_Tables_number 1
_cell_length_a 4.5454
_cell_length_b 24.3887
_cell_length_c 4.3683
_cell_angle_alpha 90.00
_cell_angle_beta 90.00
_cell_angle_gamma 90.00
loop_
_symmetry_equiv_pos_as_xyz
'x,y,z'
loop_
_atom_site_label
_atom_site_fract_x
_atom_site_fract_y
_atom_site_fract_z
Nd1 0.0000 0.0609 0.2500
Nd2 0.0000 0.3188 0.2500
Nd3 0.0000 0.6812 0.7500
Nd4 0.0000 0.9391 0.7500
Nd5 0.5000 0.1812 0.7500
Nd6 0.5000 0.4391 0.7500
Nd7 0.5000 0.5609 0.2500
Nd8 0.5000 0.8188 0.2500
Ga1 0.0000 0.4653 0.2500
Ga2 0.0000 0.5347 0.7500
Ga3 0.5000 0.0347 0.7500
Ga4 0.5000 0.9653 0.2500
Sb1 0.0000 0.1886 0.2500
Sb2 0.0000 0.8114 0.7500
Sb3 0.5000 0.3114 0.7500
Sb4 0.5000 0.6886 0.2500

# GGA-PBE Nd5GaSb4, optimized geometry
# Uncorrected formation energy   -987 meV/atom
# Uncorrected energy   -53.2 eV/f.u.
data_Nd5GaSb4
_symmetry_space_group_name_H-M 'P 1'
_symmetry_Int_Tables_number 1
_cell_length_a 7.7778
_cell_length_b 7.7778
_cell_length_c 7.7778
_cell_angle_alpha 99.57
_cell_angle_beta 99.57
_cell_angle_gamma 131.88
loop_
_symmetry_equiv_pos_as_xyz
'x,y,z'
loop_
_atom_site_label
_atom_site_fract_x
_atom_site_fract_y
_atom_site_fract_z
Nd1 0.0000 0.0000 0.0000
Nd2 0.1996 0.3979 0.5975
Nd3 0.3979 0.8004 0.1983
Nd4 0.6021 0.1996 0.8017
Nd5 0.8004 0.6021 0.4025
Ga1 0.5000 0.5000 0.0000
Sb1 0.0978 0.6998 0.7976
Sb2 0.3002 0.0978 0.3981
Sb3 0.6998 0.9022 0.6019
Sb4 0.9022 0.3002 0.2024

# GGA-PBE Nd8GaSb3Te4, optimized geometry
# Uncorrected formation energy   -1273 meV/atom
# Uncorrected energy   -86.5 eV/f.u.
data_Nd8GaSb3Te4
_symmetry_space_group_name_H-M 'P 1'
_symmetry_Int_Tables_number 1
_cell_length_a 9.0093
_cell_length_b 9.0093
_cell_length_c 9.0093
_cell_angle_alpha 59.85
_cell_angle_beta 59.85
_cell_angle_gamma 59.85
loop_
_symmetry_equiv_pos_as_xyz
'x,y,z'
loop_
_atom_site_label
_atom_site_fract_x
_atom_site_fract_y
_atom_site_fract_z
Nd1 0.2467 0.2467 0.2467
Nd2 0.2552 0.7402 0.7402
Nd3 0.2598 0.2598 0.7448
Nd4 0.2598 0.7448 0.2598
Nd5 0.7402 0.2552 0.7402
Nd6 0.7402 0.7402 0.2552
Nd7 0.7448 0.2598 0.2598
Nd8 0.7533 0.7533 0.7533
Ga1 0.5000 0.5000 0.5000
Sb1 0.0000 0.0000 0.5000
Sb2 0.0000 0.5000 0.0000
Sb3 0.5000 0.0000 0.0000
Te1 0.0000 0.0000 0.0000
Te2 0.0000 0.5000 0.5000
Te3 0.5000 0.0000 0.5000
Te4 0.5000 0.5000 0.0000

# GGA-PBE Nd3Sc2Ga4, optimized geometry
# Energy relative to the elements   -4.43 eV/f.u.
# Uncorrected energy   -43.5 eV/f.u.
data_Nd3Sc2Ga4
_symmetry_space_group_name_H-M 'P 1'
_symmetry_Int_Tables_number 1
_cell_length_a 6.3606
_cell_length_b 6.3606
_cell_length_c 9.0957
_cell_angle_alpha 108.77
_cell_angle_beta 108.77
_cell_angle_gamma 40.71
loop_
_symmetry_equiv_pos_as_xyz
'x,y,z'
loop_
_atom_site_label
_atom_site_fract_x
_atom_site_fract_y
_atom_site_fract_z
Nd1 0.0000 0.0000 0.0000
Nd2 0.3815 0.3815 0.3021
Nd3 0.6185 0.6185 0.6979
Sc1 0.3151 0.3151 0.6506
Sc2 0.6849 0.6849 0.3494
Ga1 0.0761 0.0761 0.4137
Ga2 0.2766 0.2766 0.9370
Ga3 0.7234 0.7234 0.0630
Ga4 0.9239 0.9239 0.5863

# GGA-PBE NdSc5Ga6, optimized geometry
# Energy relative to the elements   -6.81 eV/f.u.
# Uncorrected energy   -61.4 eV/f.u.
data_NdSc5Ga6
_symmetry_space_group_name_H-M 'P 1'
_symmetry_Int_Tables_number 1
_cell_length_a 8.3749
_cell_length_b 8.3749
_cell_length_c 4.8603
_cell_angle_alpha 106.46
_cell_angle_beta 106.46
_cell_angle_gamma 47.62
loop_
_symmetry_equiv_pos_as_xyz
'x,y,z'
loop_
_atom_site_label
_atom_site_fract_x
_atom_site_fract_y
_atom_site_fract_z
Nd1 0.0000 0.0000 0.0000
Sc1 0.1603 0.1603 0.6601
Sc2 0.3300 0.3300 0.3297
Sc3 0.5000 0.5000 0.0000
Sc4 0.6700 0.6700 0.6703
Sc5 0.8397 0.8397 0.3399
Ga1 0.0897 0.5638 0.8269
Ga2 0.2767 0.7233 0.5000
Ga3 0.4362 0.9103 0.1731
Ga4 0.5638 0.0897 0.8269
Ga5 0.7233 0.2767 0.5000
Ga6 0.9103 0.4362 0.1731